Here is a relaxed CsAlGa14 crystal from the Alexandria database. Energies are from PBE.

energy of formation from the pure elements: -0.0487 eV per atom
total moment: 0.000 μB/cell
energy: -2.98 eV/atom

abc: 8.0626 10.4940 10.4940
angles: 71.13 67.41 67.41
Closest atoms and distances in Å follow each position.
Sites, in units of the cell vectors:
Ga: 0.8158 0.9567 0.8781  6 Ga 2.54-2.69
Ga: 0.8372 0.8013 0.5243  4 Ga 2.54-2.63, 2 Al 2.76
Ga: 0.8875 0.7821 0.1118  6 Ga 2.48-2.72
Ga: 0.1507 0.6219 0.5433  6 Ga 2.54-2.69
Ga: 0.2813 0.3882 0.7179  6 Ga 2.48-2.72
Ga: 0.3875 0.6118 0.2821  6 Ga 2.48-2.72
Ga: 0.3493 0.9567 0.8781  6 Ga 2.54-2.69
Ga: 0.8493 0.3781 0.4567  6 Ga 2.54-2.69
Ga: 0.6683 0.3725 0.2909  6 Ga 2.46-2.69
Ga: 0.6842 0.6219 0.5433  6 Ga 2.54-2.69
Ga: 0.3158 0.3781 0.4567  6 Ga 2.54-2.69
Cs: 0.2500 0.4017 0.0983  16 Ga 3.78-4.01
Ga: 0.7813 0.2179 0.8882  6 Ga 2.48-2.72
Cs: 0.7500 0.5983 0.9017  16 Ga 3.78-4.01
Ga: 0.6047 0.2311 0.5594  6 Ga 2.56-2.72
Ga: 0.1125 0.2179 0.8882  6 Ga 2.48-2.72
Ga: 0.8953 0.9406 0.2689  6 Ga 2.56-2.72
Ga: 0.6628 0.9757 0.6987  4 Ga 2.54-2.63, 2 Al 2.76
Ga: 0.3953 0.7689 0.4406  6 Ga 2.56-2.72
Ga: 0.1842 0.0433 0.1219  6 Ga 2.54-2.69
Ga: 0.8317 0.2091 0.1275  6 Ga 2.46-2.69
Al: 0.0000 0.0000 0.5000  4 Ga 2.76
Ga: 0.3317 0.6275 0.7091  6 Ga 2.46-2.69
Ga: 0.6125 0.3882 0.7179  6 Ga 2.48-2.72
Ga: 0.2187 0.7821 0.1118  6 Ga 2.48-2.72
Ga: 0.1628 0.1987 0.4757  4 Ga 2.54-2.63, 2 Al 2.76
Ga: 0.1683 0.7909 0.8725  6 Ga 2.46-2.69
Ga: 0.1047 0.0594 0.7311  6 Ga 2.56-2.72
Ga: 0.6507 0.0433 0.1219  6 Ga 2.54-2.69
Al: 0.5000 0.0000 0.5000  4 Ga 2.76
Ga: 0.7187 0.6118 0.2821  6 Ga 2.48-2.72
Ga: 0.3372 0.0243 0.3013  4 Ga 2.54-2.63, 2 Al 2.76


Here is a relaxed Nd2MgZr crystal from the Alexandria database. Energies are from PBE.

energy of formation from the pure elements: 0.1317 eV per atom
total moment: 1.599 μB/cell
energy: -4.79 eV/atom

abc: 5.4607 5.4607 5.4607
angles: 60.00 60.00 60.00
Closest atoms and distances in Å follow each position.
Sites, in units of the cell vectors:
Nd: 0.2500 0.2500 0.2500  4 Zr 3.34, 4 Mg 3.34
Mg: 0.5000 0.5000 0.5000  8 Nd 3.34
Zr: 0.0000 0.0000 0.0000  8 Nd 3.34
Nd: 0.7500 0.7500 0.7500  4 Zr 3.34, 4 Mg 3.34


Here is a relaxed CdAuF3 crystal from the Alexandria database. Energies are from PBE.

total moment: 0.308 μB/cell
energy: -2.83 eV/atom

abc: 4.4456 4.4456 4.4456
angles: 90.00 90.00 90.00
Closest atoms and distances in Å follow each position.
Sites, in units of the cell vectors:
Cd: 0.5000 0.5000 0.5000  12 F 3.14
F: 0.5000 0.0000 0.0000  2 Au 2.22
Au: 0.0000 0.0000 0.0000  6 F 2.22
F: 0.0000 0.5000 0.0000  2 Au 2.22
F: 0.0000 0.0000 0.5000  2 Au 2.22


Here is a relaxed HoCd3In2 crystal from the Alexandria database. Energies are from PBE.

energy of formation from the pure elements: -0.0873 eV per atom
total moment: 0.000 μB/cell
energy: -2.22 eV/atom

abc: 5.7462 6.4900 8.7172
angles: 111.85 89.99 90.00
Closest atoms and distances in Å follow each position.
Sites, in units of the cell vectors:
In: 0.0000 0.2551 0.0000  3 In 2.87-3.18, 2 Cd 3.07
Cd: 0.2500 0.1756 0.3512  6 Cd 3.05-3.27, 2 Ho 3.25
Ho: 0.2500 0.6607 0.3214  8 Cd 3.19-3.33, 4 In 3.37
Cd: 0.7500 0.8244 0.6488  6 Cd 3.05-3.27, 2 Ho 3.25
In: 0.5000 0.7449 0.0000  3 In 2.87-3.18, 2 Cd 3.07
Cd: 0.2500 0.5920 0.6654  5 Cd 3.05-3.37, 2 In 3.07, 3 Ho 3.19-3.33
In: 0.5000 0.2551 0.0000  3 In 2.87-3.18, 2 Cd 3.07
Cd: 0.7500 0.4080 0.3346  5 Cd 3.05-3.37, 2 In 3.07, 3 Ho 3.19-3.33
Cd: 0.7500 0.9266 0.3346  5 Cd 3.05-3.37, 2 In 3.07, 3 Ho 3.19-3.33
Ho: 0.7500 0.3393 0.6786  8 Cd 3.19-3.33, 4 In 3.37
Cd: 0.2500 0.0734 0.6654  5 Cd 3.05-3.37, 2 In 3.07, 3 Ho 3.19-3.33
In: 0.0000 0.7449 0.0000  3 In 2.87-3.18, 2 Cd 3.07


Here is a relaxed La2CePm3As6 crystal from the Alexandria database. Energies are from PBE.

energy of formation from the pure elements: -1.5280 eV per atom
total moment: 0.566 μB/cell
energy: -6.36 eV/atom

abc: 4.2838 8.5659 9.5670
angles: 102.88 102.94 90.00
Closest atoms and distances in Å follow each position.
Sites, in units of the cell vectors:
As: 0.0018 0.7544 0.0037  3 Pm 3.01-3.05, 2 Ce 3.01, 1 La 3.05
As: 0.3351 0.9219 0.6703  1 Ce 2.99, 3 Pm 3.00-3.05, 2 La 3.06
As: 0.9982 0.2456 0.9963  3 Pm 3.01-3.05, 2 Ce 3.01, 1 La 3.05
La: 0.1664 0.3336 0.3328  6 As 3.05-3.06
As: 0.6649 0.0781 0.3297  1 Ce 2.99, 3 Pm 3.00-3.05, 2 La 3.06
Pm: 0.5000 0.5000 0.0000  6 As 3.00-3.05
Pm: 0.8326 0.1664 0.6652  6 As 3.00-3.05
La: 0.8336 0.6664 0.6672  6 As 3.05-3.06
As: 0.6652 0.5871 0.3303  3 Pm 3.00, 3 La 3.05-3.06
Ce: 0.5000 0.0000 0.0000  6 As 2.99-3.01
Pm: 0.1674 0.8336 0.3348  6 As 3.00-3.05
As: 0.3348 0.4129 0.6697  3 Pm 3.00, 3 La 3.05-3.06


Here is a relaxed KNiW2 crystal from the Alexandria database. Energies are from PBE.

energy of formation from the pure elements: 0.9729 eV per atom
total moment: 0.000 μB/cell
energy: -7.22 eV/atom

abc: 2.6762 3.6990 8.4772
angles: 90.00 90.00 90.00
Closest atoms and distances in Å follow each position.
Sites, in units of the cell vectors:
K: 0.5000 0.5000 0.2500  2 K 2.68
W: 0.0000 0.0000 0.6013  3 W 2.52-2.68, 4 Ni 2.61
Ni: 0.5000 0.5000 0.7499  8 W 2.61, 2 Ni 2.68
W: 0.0000 0.0000 0.8986  3 W 2.52-2.68, 4 Ni 2.61